# 1
DFT (PBE) results for SmY4ScS8 after structural relaxation.

Lattice parameters (Å, degrees): 8.030 8.030 8.030 59.82 59.82 59.82
Sites, in units of the cell vectors:
Sm 0.000 0.000 0.000
Y 0.000 0.000 0.487
Y 0.000 0.487 0.000
Y 0.487 0.000 0.000
Y 0.622 0.622 0.622
Sc 0.371 0.371 0.371
S 0.223 0.752 0.752
S 0.244 0.244 0.244
S 0.248 0.248 0.751
S 0.248 0.751 0.248
S 0.751 0.248 0.248
S 0.752 0.223 0.752
S 0.752 0.752 0.223
S 0.755 0.755 0.755

Calculated values
Space group   No. 160
Energy relative to the elements, uncorrected   -44.37 kcal/mol of atoms
Total energy   -0.5085 Ry/atom

# 2
DFT (PBE) results for BaIr2Pb after structural relaxation.

Lattice parameters (Å, degrees): 7.117 7.117 7.117 90.00 90.00 90.00
Sites, in units of the cell vectors:
Ba 0.000 0.000 0.000
Ba 0.000 0.500 0.500
Ba 0.500 0.000 0.500
Ba 0.500 0.500 0.000
Ir 0.250 0.250 0.250
Ir 0.250 0.250 0.750
Ir 0.250 0.750 0.250
Ir 0.250 0.750 0.750
Ir 0.750 0.250 0.250
Ir 0.750 0.250 0.750
Ir 0.750 0.750 0.250
Ir 0.750 0.750 0.750
Pb 0.000 0.000 0.500
Pb 0.000 0.500 0.000
Pb 0.500 0.000 0.000
Pb 0.500 0.500 0.500

Calculated values
Space group   No. 225
Energy of formation   0.562 eV per atom
ΔE to the lowest computed polymorph   705 meV per atom
Total energy   -0.3878 Ry/atom

# 3
DFT (PBE) results for AcTb7Er12 after structural relaxation.

Lattice parameters (Å, degrees): 9.734 9.734 9.734 109.47 109.47 109.47
Sites, in units of the cell vectors:
Ac 0.000 0.000 0.000
Tb 0.000 0.000 0.500
Tb 0.000 0.500 0.000
Tb 0.000 0.500 0.500
Tb 0.500 0.000 0.000
Tb 0.500 0.000 0.500
Tb 0.500 0.500 0.000
Tb 0.500 0.500 0.500
Er 0.000 0.261 0.739
Er 0.000 0.739 0.261
Er 0.261 0.000 0.739
Er 0.261 0.261 0.522
Er 0.261 0.522 0.261
Er 0.261 0.739 0.000
Er 0.478 0.739 0.739
Er 0.522 0.261 0.261
Er 0.739 0.000 0.261
Er 0.739 0.261 0.000
Er 0.739 0.478 0.739
Er 0.739 0.739 0.478

Calculated values
Space group   No. 229
Energy of formation   0.682 eV per atom
ΔE to the lowest computed polymorph   443 meV per atom
Total energy   -0.2853 Ry/atom

# 4
DFT (PBE) results for Th2NpS3 after structural relaxation.

Lattice parameters (Å, degrees): 4.005 4.005 17.005 90.00 90.00 90.00
Sites, in units of the cell vectors:
Th 0.000 0.000 0.167
Th 0.000 0.000 0.833
Th 0.500 0.500 0.333
Th 0.500 0.500 0.667
Np 0.000 0.000 0.500
Np 0.500 0.500 0.000
S 0.000 0.000 0.000
S 0.000 0.000 0.336
S 0.000 0.000 0.664
S 0.500 0.500 0.164
S 0.500 0.500 0.500
S 0.500 0.500 0.836

Calculated values
Space group   No. 139
Energy relative to the elements, uncorrected   -38.76 kcal/mol of atoms
Total energy   -0.6155 Ry/atom

# 5
DFT (PBE) results for ScTaPb after structural relaxation.

Lattice parameters (Å, degrees): 3.916 4.826 14.152 90.00 90.00 90.00
Sites, in units of the cell vectors:
Sc 0.000 0.000 0.000
Sc 0.000 0.500 0.500
Sc 0.500 0.000 0.500
Sc 0.500 0.500 0.000
Ta 0.000 0.000 0.652
Ta 0.000 0.500 0.152
Ta 0.500 0.000 0.152
Ta 0.500 0.500 0.652
Pb 0.000 0.000 0.318
Pb 0.000 0.500 0.818
Pb 0.500 0.000 0.818
Pb 0.500 0.500 0.318

Calculated values
Space group   No. 42
Energy of formation   0.139 eV per atom
ΔE to the lowest computed polymorph   7 meV per atom
Total energy   -0.5261 Ry/atom

# 6
DFT (PBE) results for Ho2Ge2Au after structural relaxation.

Lattice parameters (Å, degrees): 5.795 5.795 10.288 114.88 114.88 44.05
Sites, in units of the cell vectors:
Ho 0.003 0.003 0.322
Ho 0.184 0.184 0.103
Ho 0.816 0.816 0.897
Ho 0.997 0.997 0.678
Ge 0.365 0.365 0.433
Ge 0.463 0.463 0.107
Ge 0.537 0.537 0.893
Ge 0.635 0.635 0.567
Au 0.283 0.283 0.657
Au 0.717 0.717 0.343

Calculated values
Space group   No. 12
Energy of formation   -0.797 eV per atom
Total energy   -0.3771 Ry/atom

no.,DOS at the Fermi energy (states/eV per cell)
1,6.01
2,14.65
3,26.14
4,17.62
5,6.35
6,6.69